1.
The following is a GGA-PBE calculation of a relaxed BeAg2B crystal, from the Alexandria database.

Cell: 4.128 4.128 4.128 Å, 60.00 60.00 60.00°
Positions (direct):
Be 0.000 0.000 0.000
B 0.500 0.500 0.500
Ag 0.250 0.250 0.250
Ag 0.750 0.750 0.750

Summary:
- relative energy among the computed polymorphs (meV per atom) = 161
- calculated volume (Å³/cell) = 49.8
- space-group type = No. 225
- calculated formation energy (kJ per mole of atoms) = 72

2.
The following is a GGA-PBE calculation of a relaxed Li2PtNF crystal, from the Alexandria database.

Cell: 4.447 3.659 4.447 Å, 90.00 90.00 90.00°
Positions (direct):
N 0.000 0.000 0.000
Li 0.000 0.000 0.500
Li 0.500 0.000 0.000
Pt 0.000 0.500 0.000
F 0.500 0.500 0.500

Summary:
- calculated volume (Å³/cell) = 72.4
- space-group type = No. 123
- ΔE_f (raw) (kJ per mole of atoms) = -82

3.
The following is a GGA-PBE calculation of a relaxed CaCe3Tc crystal, from the Alexandria database.

Cell: 5.441 5.441 5.441 Å, 90.00 90.00 90.00°
Positions (direct):
Ca 0.500 0.500 0.500
Tc 0.000 0.000 0.000
Ce 0.000 0.500 0.000
Ce 0.000 0.000 0.500
Ce 0.500 0.000 0.000

Summary:
- calculated volume (Å³/cell) = 161.1
- space-group type = No. 221
- calculated formation energy (kJ per mole of atoms) = 9